The following is a DFT calculation (PBE-GGA) of Y2AsNF after structural relaxation.

Unit cell a=4.8636 b=4.8636 c=4.1066 alpha=90.00 beta=90.00 gamma=90.00
Element x y z (fractional)
1 Y 0.0000 0.5000 0.0000
2 Y 0.5000 0.0000 0.0000
3 As 0.0000 0.0000 0.5000
4 N 0.5000 0.5000 0.5000
5 F 0.0000 0.0000 0.0000

Calculated values
Uncorrected formation energy in eV/atom: -0.154
Raw total energy in eV per atom: -5.709
Crystal system: tetragonal
Space group: P4/mmm
M_tot in μB/cell: 0.0